GdTmCo2C2: optimized geometry, PBE.

```
GdTmCo2C2
1.0
-1.2882 -0.6956 -3.3021
-1.9054 -2.7673 1.3263
-5.3122 4.2243 1.1825
C Co Gd Tm
2 2 1 1
Cartesian
-2.3224 -0.2945 0.9681
-4.5866 2.7873 -0.7734
-3.0005 -0.6152 -0.6754
-5.5053 1.3766 -0.1179
0.0000 0.0000 0.0000
-2.6561 2.1122 0.5913
```

E_tot, eV per atom: -7.286

---

KZrPb: optimized geometry, PBE.

```
KZrPb
1.0
0.0841 -4.3942 2.9548
-4.1506 -3.2892 -0.0273
0.3961 -4.7441 -2.3203
K Pb Zr
1 1 1
Cartesian
-1.8351 -6.2137 0.3036
-0.9176 -3.1069 0.1518
0.0000 0.0000 0.0000
```

Offset from the most stable computed form, eV/atom: 0.000

---

ScTaBe: optimized geometry, PBE.

```
ScTaBe
1.0
0.0000 2.9805 2.9805
2.9805 0.0000 2.9805
2.9805 2.9805 0.0000
Be Sc Ta
1 1 1
Cartesian
0.0000 0.0000 0.0000
1.4903 1.4903 1.4903
4.4708 4.4708 4.4708
```

Offset from the most stable computed form, eV/atom: 0.000

---

YErMg3Ni2: optimized geometry, PBE.

```
YErMg3Ni2
1.0
-0.6853 -0.4270 3.5263
3.0989 -10.1308 -0.6243
6.5450 -8.3500 0.2611
Er Mg Ni Y
1 3 2 1
Cartesian
1.7057 -3.2687 -0.0643
0.0015 -0.0029 -0.0001
3.7199 -7.9987 1.6101
5.2513 -10.9333 1.5524
2.4058 -5.4804 1.6596
6.5226 -13.3696 1.5045
7.9540 -15.2424 -0.2996
```

E_tot, eV per atom: -4.121